#A
A relaxed structure of YIrI3, computed with PBE-GGA.

Geometry as POSCAR:
```
YIrI3
1.0
5.374 0.000 0.000
0.000 5.374 0.000
0.000 0.000 5.374
I Y Ir
3 1 1
direct
0.000 0.500 0.000
0.000 0.000 0.500
0.500 0.000 0.000
0.500 0.500 0.500
0.000 0.000 0.000
```

Output
Total magnetic moment, μB/atom: 0.00

=====

#B
A relaxed structure of YIrI3, computed with PBE-GGA.

Geometry as POSCAR:
```
YIrI3
1.0
-5.547 1.912 1.194
-2.058 -5.591 -0.605
0.922 -0.971 5.836
I Y Ir
3 1 1
direct
0.000 0.500 0.000
0.000 0.000 0.500
0.500 0.000 0.000
0.000 0.000 0.000
0.500 0.500 0.500
```

Output
Total magnetic moment, μB/atom: 0.60

=====

What should be chosen as the least stable of them? Choose #B.

=====

#A
A relaxed structure of ZnIrI2, computed with PBE-GGA.

Geometry as POSCAR:
```
ZnIrI2
1.0
-0.427 -0.116 6.253
2.432 -5.777 0.059
6.689 -0.548 3.589
I Zn Ir
4 2 2
direct
0.652 0.125 0.250
0.098 0.625 0.250
0.375 0.348 0.750
0.875 0.902 0.750
0.500 0.500 0.000
0.250 0.750 0.500
0.000 0.000 0.000
0.750 0.250 0.500
```

Output
Total magnetic moment, μB/atom: 0.00

=====

#B
A relaxed structure of ZnIrI2, computed with PBE-GGA.

Geometry as POSCAR:
```
ZnIrI2
1.0
0.000 3.583 3.583
3.583 0.000 3.583
3.583 3.583 0.000
I Zn Ir
2 1 1
direct
0.250 0.250 0.250
0.750 0.750 0.750
0.000 0.000 0.000
0.500 0.500 0.500
```

Output
Total magnetic moment, μB/atom: 0.35

=====

What should be chosen as the least stable of them? Choose #B.

=====

#A
A relaxed structure of Zn2IrI, computed with PBE-GGA.

Geometry as POSCAR:
```
Zn2IrI
1.0
-4.914 3.573 0.987
-2.904 -2.692 -4.713
-6.161 -3.693 1.886
I Zn Ir
2 4 2
direct
0.500 0.500 0.000
0.250 0.750 0.500
0.692 0.125 0.250
0.058 0.625 0.250
0.375 0.308 0.750
0.875 0.942 0.750
0.000 0.000 0.000
0.750 0.250 0.500
```

Output
Total magnetic moment, μB/atom: 0.00

=====

#B
A relaxed structure of Zn2IrI, computed with PBE-GGA.

Geometry as POSCAR:
```
Zn2IrI
1.0
0.000 3.315 3.315
3.315 0.000 3.315
3.315 3.315 0.000
I Zn Ir
1 2 1
direct
0.000 0.000 0.000
0.250 0.250 0.250
0.750 0.750 0.750
0.500 0.500 0.500
```

Output
Total magnetic moment, μB/atom: 0.00

=====

What should be chosen as the least stable of them? Choose #B.

=====

#A
A relaxed structure of Zn2Ir2I, computed with PBE-GGA.

Geometry as POSCAR:
```
Zn2Ir2I
1.0
3.708 0.000 0.000
0.000 3.708 0.000
1.854 1.854 7.522
I Zn Ir
1 2 2
direct
0.000 0.000 0.000
0.375 0.375 0.251
0.625 0.625 0.749
0.750 0.250 0.500
0.250 0.750 0.500
```

Output
Total magnetic moment, μB/atom: 0.00

=====

#B
A relaxed structure of Zn2Ir2I, computed with PBE-GGA.

Geometry as POSCAR:
```
Zn2Ir2I
1.0
-2.579 2.869 6.488
4.564 -4.613 3.855
2.124 2.050 -0.062
I Zn Ir
2 4 4
direct
0.000 0.000 0.000
0.500 0.500 0.000
0.380 0.880 0.000
0.880 0.620 0.000
0.620 0.120 0.000
0.120 0.380 0.000
0.173 0.673 0.500
0.673 0.827 0.500
0.827 0.327 0.500
0.327 0.173 0.500
```

Output
Total magnetic moment, μB/atom: 0.00

=====

What should be chosen as the least stable of them? Choose #B.

=====

#A
A relaxed structure of ZrIrI2, computed with PBE-GGA.

Geometry as POSCAR:
```
ZrIrI2
1.0
-2.879 -5.730 -0.733
5.766 -2.801 -0.755
1.762 -5.164 5.025
I Ir Zr
4 2 2
direct
0.655 0.125 0.250
0.095 0.625 0.250
0.375 0.345 0.750
0.875 0.905 0.750
0.000 0.000 0.000
0.750 0.250 0.500
0.500 0.500 0.000
0.250 0.750 0.500
```

Output
Total magnetic moment, μB/atom: 0.18

=====

#B
A relaxed structure of ZrIrI2, computed with PBE-GGA.

Geometry as POSCAR:
```
ZrIrI2
1.0
0.000 3.534 3.534
3.534 0.000 3.534
3.534 3.534 0.000
I Ir Zr
2 1 1
direct
0.250 0.250 0.250
0.750 0.750 0.750
0.500 0.500 0.500
0.000 0.000 0.000
```

Output
Total magnetic moment, μB/atom: 0.00

=====

What should be chosen as the least stable of them? Choose #A.

=====

#A
A relaxed structure of KLaI3, computed with PBE-GGA.

Geometry as POSCAR:
```
KLaI3
1.0
6.306 0.000 0.000
0.000 6.306 0.000
0.000 0.000 6.306
I K La
3 1 1
direct
0.000 0.500 0.000
0.000 0.000 0.500
0.500 0.000 0.000
0.500 0.500 0.500
0.000 0.000 0.000
```

Output
Total magnetic moment, μB/atom: 0.00

=====

#B
A relaxed structure of KLaI3, computed with PBE-GGA.

Geometry as POSCAR:
```
KLaI3
1.0
4.329 0.000 -0.947
-2.490 8.857 -1.011
0.249 -0.236 11.482
K La I
2 2 6
direct
0.922 0.045 0.882
0.574 0.501 0.731
0.620 0.887 0.438
0.876 0.659 0.176
0.874 0.214 0.617
0.176 0.800 0.635
0.108 0.026 0.274
0.321 0.745 0.979
0.388 0.520 0.340
0.623 0.332 0.997
```

Output
Total magnetic moment, μB/atom: 0.19

=====

What should be chosen as the least stable of them? Choose #A.

=====

#A
A relaxed structure of KLaI4, computed with PBE-GGA.

Geometry as POSCAR:
```
KLaI4
1.0
-3.104 -1.608 -3.332
-0.011 -8.012 3.877
-5.745 4.754 3.057
K La I
1 1 4
direct
0.500 0.000 0.500
0.000 0.500 0.500
0.000 0.284 0.730
0.000 0.716 0.270
0.500 0.716 0.739
0.500 0.284 0.261
```

Output
Total magnetic moment, μB/atom: 0.00

=====

#B
A relaxed structure of KLaI4, computed with PBE-GGA.

Geometry as POSCAR:
```
KLaI4
1.0
7.958 0.058 0.000
-1.310 8.680 0.000
-3.324 -4.369 8.835
K La I
2 2 8
direct
0.406 0.656 0.312
0.594 0.344 0.688
0.832 0.082 0.164
0.168 0.918 0.836
0.278 0.956 0.588
0.061 0.814 0.081
0.189 0.368 0.412
0.481 0.733 0.919
0.722 0.044 0.412
0.811 0.632 0.588
0.939 0.186 0.919
0.519 0.267 0.081
```

Output
Total magnetic moment, μB/atom: 0.00

=====

What should be chosen as the least stable of them? Choose #B.

=====

#A
A relaxed structure of KLaI2N, computed with PBE-GGA.

Geometry as POSCAR:
```
KLaI2N
1.0
-6.591 -0.645 0.145
0.650 -6.588 0.228
0.078 0.155 4.253
I K N La
2 1 1 1
direct
0.000 0.500 0.000
0.500 0.000 0.000
0.500 0.500 0.500
0.000 0.000 0.500
0.000 0.000 0.000
```

Output
Total magnetic moment, μB/atom: 0.06

=====

#B
A relaxed structure of KLaI2N, computed with PBE-GGA.

Geometry as POSCAR:
```
KLaI2N
1.0
6.128 0.000 0.000
0.000 6.128 0.000
0.000 0.000 4.746
I K N La
2 1 1 1
direct
0.000 0.500 0.000
0.500 0.000 0.000
0.000 0.000 0.000
0.000 0.000 0.500
0.500 0.500 0.500
```

Output
Total magnetic moment, μB/atom: 0.21

=====

What should be chosen as the least stable of them? Choose #B.

=====

#A
A relaxed structure of KLaSb2I, computed with PBE-GGA.

Geometry as POSCAR:
```
KLaSb2I
1.0
5.743 0.000 0.000
0.000 5.743 0.000
0.000 0.000 5.929
I Sb K La
1 2 1 1
direct
0.000 0.000 0.500
0.000 0.500 0.000
0.500 0.000 0.000
0.000 0.000 0.000
0.500 0.500 0.500
```

Output
Total magnetic moment, μB/atom: 0.00

=====

#B
A relaxed structure of KLaSb2I, computed with PBE-GGA.

Geometry as POSCAR:
```
KLaSb2I
1.0
6.137 0.000 0.000
0.000 6.137 0.000
0.000 0.000 6.432
I Sb K La
1 2 1 1
direct
0.000 0.000 0.500
0.000 0.500 0.000
0.500 0.000 0.000
0.500 0.500 0.500
0.000 0.000 0.000
```

Output
Total magnetic moment, μB/atom: 0.12

=====

What should be chosen as the least stable of them? Choose #A.

=====

#A
A relaxed structure of KLaTe2I, computed with PBE-GGA.

Geometry as POSCAR:
```
KLaTe2I
1.0
5.923 0.000 0.000
0.000 5.923 0.000
0.000 0.000 5.865
I K Te La
1 1 2 1
direct
0.000 0.000 0.500
0.000 0.000 0.000
0.000 0.500 0.000
0.500 0.000 0.000
0.500 0.500 0.500
```

Output
Total magnetic moment, μB/atom: 0.00

=====

#B
A relaxed structure of KLaTe2I, computed with PBE-GGA.

Geometry as POSCAR:
```
KLaTe2I
1.0
-4.797 -0.284 3.893
2.849 -4.470 3.185
2.769 4.426 3.735
I K Te La
1 1 2 1
direct
0.000 0.000 0.500
0.500 0.500 0.500
0.000 0.500 0.000
0.500 0.000 0.000
0.000 0.000 0.000
```

Output
Total magnetic moment, μB/atom: 0.00

=====

What should be chosen as the least stable of them? Choose #A.

=====

#A
A relaxed structure of KLiI2, computed with PBE-GGA.

Geometry as POSCAR:
```
KLiI2
1.0
0.000 4.129 4.129
4.129 0.000 4.129
4.129 4.129 0.000
I K Li
2 1 1
direct
0.250 0.250 0.250
0.750 0.750 0.750
0.500 0.500 0.500
0.000 0.000 0.000
```

Output
Total magnetic moment, μB/atom: 0.00

=====

#B
A relaxed structure of KLiI2, computed with PBE-GGA.

Geometry as POSCAR:
```
KLiI2
1.0
-3.959 3.953 5.893
-7.095 -2.253 -3.256
-5.498 -3.193 4.050
I K Li
4 2 2
direct
0.557 0.125 0.250
0.193 0.625 0.250
0.375 0.443 0.750
0.875 0.807 0.750
0.000 0.000 0.000
0.750 0.250 0.500
0.500 0.500 0.000
0.250 0.750 0.500
```

Output
Total magnetic moment, μB/atom: 0.00

=====

#C
A relaxed structure of KLiI2, computed with PBE-GGA.

Geometry as POSCAR:
```
KLiI2
1.0
4.575 0.000 0.000
2.287 3.962 0.000
2.287 1.321 7.884
I K Li
2 1 1
direct
0.736 0.736 0.792
0.264 0.264 0.208
0.500 0.500 0.500
0.000 0.000 0.000
```

Output
Total magnetic moment, μB/atom: 0.00

=====

#D
A relaxed structure of KLiI2, computed with PBE-GGA.

Geometry as POSCAR:
```
KLiI2
1.0
-3.429 -2.949 -0.237
0.820 -4.448 0.222
-1.644 -2.209 7.988
K Li I
1 1 2
direct
0.499 0.499 0.502
0.668 0.668 0.996
0.069 0.069 0.794
0.264 0.264 0.207
```

Output
Total magnetic moment, μB/atom: 0.00

=====

What should be chosen as the least stable of them? Choose #A.

=====

#A
A relaxed structure of KLiI2, computed with PBE-GGA.

Geometry as POSCAR:
```
KLiI2
1.0
4.595 0.000 0.000
-0.001 8.315 0.345
-2.297 -3.751 7.957
K Li I
2 2 4
direct
0.700 0.698 0.975
0.961 0.862 0.496
0.223 0.174 0.021
0.437 0.386 0.450
0.344 0.031 0.262
0.034 0.504 0.643
0.627 0.056 0.828
0.317 0.529 0.209
```

Output
Total magnetic moment, μB/atom: 0.00

=====

#B
A relaxed structure of KLiI2, computed with PBE-GGA.

Geometry as POSCAR:
```
KLiI2
1.0
-3.355 -0.236 -2.329
-1.586 -2.764 2.565
-3.503 6.119 4.426
I K Li
2 1 1
direct
0.000 0.000 0.769
0.000 0.000 0.231
0.500 0.500 0.500
0.500 0.500 0.000
```

Output
Total magnetic moment, μB/atom: 0.00

=====

What should be chosen as the least stable of them? Choose #B.